PBE Cu2ReW, optimized geometry; size of the total moment = 0.00 Bohr magnetons per cell; space group = P2/m (10); calculated formation energy = 0.339 eV per atom
1.0
4.681 0.000 0.000
0.000 2.676 0.000
-1.573 0.000 4.509
Cu Re W
2 1 1
Direct
0.000 0.000 0.000
0.500 0.500 0.000
0.000 0.500 0.500
0.500 0.000 0.500


PBE CuReW, optimized geometry; size of the total moment = 0.00 Bohr magnetons per cell; space group = Fmm2 (42); calculated formation energy = 0.314 eV per atom
1.0
0.000 2.176 6.494
1.568 0.000 6.494
1.568 2.176 0.000
Cu Re W
1 1 1
Direct
0.000 0.000 0.000
0.666 0.666 0.334
0.334 0.334 0.666